Here is a relaxed structure of YCoCu from Alexandria via LeMat-Bulk. Energies are from PBE.

Values from the calculation:
* N(E_F): 0.65 states/eV/atom
* DFT total energy: -5.19 eV per atom
* crystal system: cubic
* magnetization: 0.0 μB per cell
* DFT formation energy: 700.6 meV/atom

a = 6.273 Å, b = 6.273 Å, c = 6.273 Å
α = 90.00°, β = 90.00°, γ = 90.00°
Space group F-43m (No. 216)
One atom of each set of equivalent atoms:
Y  0.000  0.000  0.000
Co  0.250  0.250  0.750
Cu  0.250  0.250  0.250

=====

Here is a relaxed structure of SrAlHg2 from Alexandria via LeMat-Bulk. Energies are from PBE.

Values from the calculation:
* N(E_F): 0.40 states/eV/atom
* DFT total energy: -1.72 eV per atom
* crystal system: orthorhombic
* magnetization: 0.0 μB per cell
* DFT formation energy: -209.8 meV/atom

a = 3.940 Å, b = 4.956 Å, c = 5.699 Å
α = 90.00°, β = 90.00°, γ = 90.00°
Space group Pmm2 (No. 25)
One atom of each set of equivalent atoms:
Sr  0.000  0.000  0.000
Al  0.500  0.500  0.719
Hg  0.500  0.000  0.518
Hg  0.500  0.500  0.213

=====

Here is a relaxed structure of BaSb2TePt from Alexandria via LeMat-Bulk. Energies are from PBE.

Values from the calculation:
* N(E_F): 0.95 states/eV/atom
* DFT total energy: -4.28 eV per atom
* energy above the most stable polymorph in this dataset: 0.00 kJ per mole of atoms
* crystal system: tetragonal
* magnetization: 0.0 μB per cell
* energy relative to the elements, uncorrected: -0.405 eV/atom

a = 5.293 Å, b = 5.293 Å, c = 5.775 Å
α = 90.00°, β = 90.00°, γ = 90.00°
Space group P4/mmm (No. 123)
One atom of each set of equivalent atoms:
Ba  0.000  0.000  0.000
Sb  0.000  0.500  0.500
Te  0.500  0.500  0.000
Pt  0.500  0.500  0.500